(1)
First-principles (GGA-PBE) data for Li2CaPd after structural relaxation, as listed in Alexandria via LeMat-Bulk.

abc: 15.593 7.815 5.533
angles: 90.00 90.00 90.00
Space group Pnma (No. 62)
Symmetry-distinct sites (fractional):
Li 0.043 0.060 0.218 x8
Li 0.210 0.559 0.038 x8
Ca 0.107 0.250 0.744 x4
Ca 0.139 0.750 0.537 x4
Pd 0.068 0.750 0.033 x4
Pd 0.187 0.250 0.254 x4

Results
Density of states at the Fermi level in states/eV/atom: 0.32
E_form in eV per atom: -0.36
Total magnetization in μB/atom: 0.0000
Density in Mg/m³: 3.160
ΔE to the lowest computed polymorph in meV/atom: 0



(2)
First-principles (GGA-PBE) data for Li4CaPd2 after structural relaxation, as listed in Alexandria via LeMat-Bulk.

abc: 7.674 7.674 4.280
angles: 90.00 90.00 90.00
Space group P4_2/mnm (No. 136)
Symmetry-distinct sites (fractional):
Li 0.098 0.349 0.000 x8
Ca 0.000 0.000 0.500 x2
Pd 0.217 0.783 0.000 x4

Results
Density of states at the Fermi level in states/eV/atom: 0.36
E_form in eV per atom: -0.36
Total magnetization in μB/atom: 0.0000
Density in Mg/m³: 3.698